(1)
{
  "formula": "Zr2TcPt",
  "functional": "SCAN",
  "state": "PBEsol geometry",
  "lattice": [[3.3596, 0.0000, 0.0000], [0.0000, 4.5635, 0.0000], [0.0000, 0.0000, 4.5635]],
  "species": ["Zr", "Zr", "Tc", "Pt"],
  "frac_coords": [[0.5000, 0.5000, 0.0000], [0.5000, 0.0000, 0.5000], [0.0000, 0.0000, 0.0000], [0.0000, 0.5000, 0.5000]],
  "delta_e_f_ev_per_atom": -0.905
}

(2)
{
  "formula": "Ba3NiC",
  "functional": "SCAN",
  "state": "PBEsol geometry",
  "lattice": [[-0.1242, -0.3493, -5.4938], [-2.2955, -4.9914, 0.3692], [-5.0035, 2.2987, -0.0330]],
  "species": ["Ni", "C", "Ba", "Ba", "Ba"],
  "frac_coords": [[0.5000, 0.5000, 0.5000], [0.0000, 0.0000, 0.0000], [0.0000, 0.5000, 0.0000], [0.0000, 0.0000, 0.5000], [0.5000, 0.0000, 0.0000]],
  "e_above_lowest_polymorph_ev_per_fu": 0.00,
  "delta_e_f_ev_per_atom": 0.733
}

(3)
{
  "formula": "SrLiZr2",
  "functional": "SCAN",
  "state": "PBEsol geometry",
  "lattice": [[5.1681, 0.0000, 0.0000], [2.5840, 4.4757, 0.0000], [2.5840, 1.4919, 4.2197]],
  "species": ["Li", "Sr", "Zr", "Zr"],
  "frac_coords": [[0.0000, 0.0000, 0.0000], [0.5000, 0.5000, 0.5000], [0.2500, 0.2500, 0.2500], [0.7500, 0.7500, 0.7500]],
  "e_above_lowest_polymorph_ev_per_fu": 1.27,
  "delta_e_f_ev_per_atom": 0.844
}

(4)
{
  "formula": "SrZrOs2",
  "functional": "SCAN",
  "state": "PBEsol geometry",
  "lattice": [[-2.6653, 0.6782, 0.9540], [-1.1582, -1.8715, -1.9052], [0.5483, -6.8705, 6.4158]],
  "species": ["Os", "Os", "Sr", "Zr"],
  "frac_coords": [[0.0000, 0.0000, 0.0325], [0.5000, 0.5000, 0.2007], [0.0000, 0.0000, 0.4566], [0.5000, 0.5000, 0.8102]],
  "e_above_lowest_polymorph_ev_per_fu": 0.19,
  "delta_e_f_ev_per_atom": 0.371
}

(5)
{
  "formula": "MnSbTe2",
  "functional": "SCAN",
  "state": "PBEsol geometry",
  "lattice": [[3.5483, 0.0000, 0.0000], [1.7742, 3.0729, 0.0000], [1.7742, 1.0243, 8.7292]],
  "species": ["Mn", "Sb", "Te", "Te"],
  "frac_coords": [[0.5015, 0.5015, 0.4956], [0.2334, 0.2334, 0.2999], [0.9907, 0.9907, 0.0280], [0.7745, 0.7745, 0.6765]],
  "formation_energy_uncorrected_mev_per_atom": -12
}

(6)
{
  "formula": "CdBi2Pd",
  "functional": "SCAN",
  "state": "PBEsol geometry",
  "lattice": [[4.6893, 0.0000, 0.0000], [0.0000, 4.6893, 0.0000], [-2.3447, -2.3447, 9.4072]],
  "species": ["Bi", "Bi", "Bi", "Bi", "Pd", "Pd", "Cd", "Cd"],
  "frac_coords": [[0.4028, 0.8750, 0.2500], [0.8472, 0.3750, 0.2500], [0.1250, 0.1528, 0.7500], [0.6250, 0.5972, 0.7500], [0.7500, 0.2500, 0.5000], [0.5000, 0.5000, 0.0000], [0.2500, 0.7500, 0.5000], [0.0000, 0.0000, 0.0000]],
  "delta_e_f_ev_per_atom": 0.066
}

(7)
{
  "formula": "Zr2ScCd",
  "functional": "SCAN",
  "state": "PBEsol geometry",
  "lattice": [[-1.8693, -3.7650, 0.7659], [0.5387, -1.1002, -4.0934], [4.7899, 0.5956, 2.7003]],
  "species": ["Sc", "Zr", "Zr", "Cd"],
  "frac_coords": [[0.0000, 0.0000, 0.0000], [0.7500, 0.2500, 0.5000], [0.2500, 0.7500, 0.5000], [0.5000, 0.5000, 0.0000]],
  "e_above_lowest_polymorph_ev_per_fu": 0.07,
  "delta_e_f_ev_per_atom": -0.130
}

(8)
{
  "formula": "RbPS2",
  "functional": "SCAN",
  "state": "PBEsol geometry",
  "lattice": [[6.6807, 0.0000, 0.0000], [-3.3404, 6.3154, -0.0304], [0.0000, 3.5608, 5.6527]],
  "species": ["P", "P", "S", "S", "S", "S", "Rb", "Rb"],
  "frac_coords": [[0.2500, 0.5000, 0.2500], [0.5000, 0.0000, 0.5000], [0.4775, 0.7500, 0.3750], [0.2725, 0.7500, 0.8750], [0.8750, 0.2500, 0.4775], [0.3750, 0.2500, 0.2725], [0.7500, 0.5000, 0.7500], [0.0000, 0.0000, 0.0000]],
  "formation_energy_uncorrected_mev_per_atom": -427
}

(9)
{
  "formula": "Ta3TeP",
  "functional": "SCAN",
  "state": "PBEsol geometry",
  "lattice": [[-1.6309, -1.9809, 3.8253], [-3.0611, -2.3450, -2.5194], [3.0309, -3.4342, -0.4862]],
  "species": ["P", "Te", "Ta", "Ta", "Ta"],
  "frac_coords": [[0.0000, 0.0000, 0.0000], [0.5000, 0.5000, 0.5000], [0.0000, 0.5000, 0.0000], [0.0000, 0.0000, 0.5000], [0.5000, 0.0000, 0.0000]],
  "formation_energy_uncorrected_mev_per_atom": 537
}

(10)
{
  "formula": "Cs3Zr2I9",
  "functional": "SCAN",
  "state": "PBEsol geometry",
  "lattice": [[8.2182, 0.0000, 0.0000], [-4.1091, 7.1172, 0.0000], [0.0000, 0.0000, 19.9061]],
  "species": ["Cs", "Cs", "Cs", "Cs", "Cs", "Cs", "Zr", "Zr", "Zr", "Zr", "I", "I", "I", "I", "I", "I", "I", "I", "I", "I", "I", "I", "I", "I", "I", "I", "I", "I"],
  "frac_coords": [[0.3333, 0.6667, 0.4335], [0.6667, 0.3333, 0.9335], [0.6667, 0.3333, 0.5665], [0.3333, 0.6667, 0.0665], [0.0000, 0.0000, 0.2500], [0.0000, 0.0000, 0.7500], [0.6667, 0.3333, 0.3294], [0.3333, 0.6667, 0.8294], [0.3333, 0.6667, 0.6706], [0.6667, 0.3333, 0.1706], [0.3350, 0.1675, 0.4110], [0.1675, 0.8325, 0.9110], [0.1675, 0.3350, 0.9110], [0.8325, 0.6650, 0.4110], [0.8325, 0.1675, 0.4110], [0.6650, 0.8325, 0.5890], [0.1675, 0.8325, 0.5890], [0.6650, 0.8325, 0.9110], [0.1675, 0.3350, 0.5890], [0.8325, 0.6650, 0.0890], [0.3350, 0.1675, 0.0890], [0.8325, 0.1675, 0.0890], [0.0105, 0.5053, 0.2500], [0.5053, 0.4947, 0.7500], [0.5053, 0.0105, 0.7500], [0.4947, 0.9895, 0.2500], [0.4947, 0.5053, 0.2500], [0.9895, 0.4947, 0.7500]],
  "formation_energy_uncorrected_mev_per_atom": -1359
}

(11)
{
  "formula": "Ir3Os",
  "functional": "SCAN",
  "state": "PBEsol geometry",
  "lattice": [[-1.1640, 0.2770, -2.4465], [-3.9553, -0.1085, 1.8697], [0.1001, 4.6955, 0.4841]],
  "species": ["Ir", "Ir", "Ir", "Os"],
  "frac_coords": [[0.0000, 0.0000, 0.0020], [0.5000, 0.0000, 0.5007], [0.5000, 0.5000, 0.8315], [0.0000, 0.5000, 0.3324]],
  "delta_e_f_ev_per_atom": 0.075
}

(12)
{
  "formula": "Al5Se8",
  "functional": "SCAN",
  "state": "PBEsol geometry",
  "lattice": [[7.3369, 0.0000, 0.0000], [3.6684, 6.3539, 0.0000], [3.6684, 2.1180, 5.9905]],
  "species": ["Al", "Al", "Al", "Al", "Al", "Se", "Se", "Se", "Se", "Se", "Se", "Se", "Se"],
  "frac_coords": [[0.6556, 0.1148, 0.1148], [0.1148, 0.1148, 0.1148], [0.1148, 0.6556, 0.1148], [0.1148, 0.1148, 0.6556], [0.5000, 0.5000, 0.5000], [0.3753, 0.8749, 0.8749], [0.8749, 0.8749, 0.8749], [0.8749, 0.3753, 0.8749], [0.8749, 0.8749, 0.3753], [0.9030, 0.3657, 0.3657], [0.3657, 0.3657, 0.3657], [0.3657, 0.9030, 0.3657], [0.3657, 0.3657, 0.9030]],
  "formation_energy_uncorrected_mev_per_atom": -867
}

(13)
{
  "formula": "AsOsSe2O",
  "functional": "SCAN",
  "state": "PBEsol geometry",
  "lattice": [[-0.5586, 4.5081, 1.5551], [-4.7679, -0.4986, -0.2673], [-0.0877, -1.5444, 4.4457]],
  "species": ["As", "Os", "O", "Se", "Se"],
  "frac_coords": [[0.0000, 0.0000, 0.5000], [0.0000, 0.0000, 0.0000], [0.5000, 0.5000, 0.5000], [0.0000, 0.5000, 0.0000], [0.5000, 0.0000, 0.0000]],
  "e_above_lowest_polymorph_ev_per_fu": 0.23,
  "formation_energy_uncorrected_mev_per_atom": 1076
}

(14)
{
  "formula": "Ti3GaBi",
  "functional": "SCAN",
  "state": "PBEsol geometry",
  "lattice": [[5.0553, 0.0000, 0.0000], [0.0000, 5.0553, 0.0000], [0.0000, 0.0000, 5.0553]],
  "species": ["Bi", "Ga", "Ti", "Ti", "Ti"],
  "frac_coords": [[0.0000, 0.0000, 0.0000], [0.5000, 0.5000, 0.5000], [0.0000, 0.5000, 0.0000], [0.0000, 0.0000, 0.5000], [0.5000, 0.0000, 0.0000]],
  "delta_e_f_ev_per_atom": 1.069
}

(15)
{
  "formula": "BiB3Te",
  "functional": "SCAN",
  "state": "PBEsol geometry",
  "lattice": [[-0.5519, 3.6930, 2.8579], [-2.7874, -2.5694, 2.7819], [3.7465, -1.3676, 2.4908]],
  "species": ["B", "B", "B", "Te", "Bi"],
  "frac_coords": [[0.0000, 0.5000, 0.0000], [0.0000, 0.0000, 0.5000], [0.5000, 0.0000, 0.0000], [0.5000, 0.5000, 0.5000], [0.0000, 0.0000, 0.0000]],
  "formation_energy_uncorrected_mev_per_atom": 2363
}

(16)
{
  "formula": "CrPbO4",
  "functional": "SCAN",
  "state": "PBEsol geometry",
  "lattice": [[-4.3160, 1.0523, 3.5938], [4.4282, -1.7225, 5.8224], [2.3358, 7.7833, 0.5262]],
  "species": ["Cr", "Cr", "Cr", "Cr", "Pb", "Pb", "Pb", "Pb", "O", "O", "O", "O", "O", "O", "O", "O", "O", "O", "O", "O", "O", "O", "O", "O"],
  "frac_coords": [[0.2500, 0.1751, 0.0489], [0.7500, 0.6751, 0.4511], [0.7500, 0.8249, 0.9511], [0.2500, 0.3249, 0.5489], [0.2500, 0.7035, 0.2047], [0.7500, 0.2965, 0.7953], [0.7500, 0.2035, 0.2953], [0.2500, 0.7965, 0.7047], [0.2500, 0.0297, 0.1993], [0.7500, 0.9703, 0.8007], [0.7500, 0.5297, 0.3007], [0.2500, 0.4703, 0.6993], [0.2500, 0.0753, 0.8712], [0.7500, 0.9247, 0.1288], [0.7500, 0.5753, 0.6288], [0.2500, 0.4247, 0.3712], [0.0071, 0.2969, 0.0622], [0.5071, 0.7031, 0.9378], [0.9929, 0.7969, 0.4378], [0.4929, 0.2031, 0.5622], [0.9929, 0.7031, 0.9378], [0.4929, 0.2969, 0.0622], [0.0071, 0.2031, 0.5622], [0.5071, 0.7969, 0.4378]],
  "e_above_lowest_polymorph_ev_per_fu": 0.14,
  "formation_energy_uncorrected_mev_per_atom": -1739
}

(17)
{
  "formula": "CrOF",
  "functional": "SCAN",
  "state": "PBEsol geometry",
  "lattice": [[2.9829, 0.0000, 0.0000], [0.0000, 3.8531, 0.0000], [0.0000, 0.0000, 5.8442]],
  "species": ["Cr", "Cr", "O", "O", "F", "F"],
  "frac_coords": [[0.5000, 0.5000, 0.6468], [0.0000, 0.0000, 0.3532], [0.0000, 0.5000, 0.4241], [0.5000, 0.0000, 0.5759], [0.0000, 0.5000, 0.8589], [0.5000, 0.0000, 0.1411]],
  "formation_energy_uncorrected_mev_per_atom": -2783
}

(18)
{
  "formula": "Zr2PbW",
  "functional": "SCAN",
  "state": "PBEsol geometry",
  "lattice": [[-0.9999, 1.4634, -2.5465], [0.9338, -2.8798, -0.6789], [-8.5362, -3.1337, 1.5508]],
  "species": ["Pb", "W", "Zr", "Zr"],
  "frac_coords": [[0.5000, 0.5000, 0.5000], [0.5000, 0.5000, 0.0000], [0.0000, 0.0000, 0.2258], [0.0000, 0.0000, 0.7742]],
  "delta_e_f_ev_per_atom": 0.008
}

(19)
{
  "formula": "In3GaN4",
  "functional": "SCAN",
  "state": "PBEsol geometry",
  "lattice": [[3.4472, 0.0000, 0.0000], [-1.7236, 2.9853, 0.0000], [0.0000, 0.0000, 11.2379]],
  "species": ["N", "N", "N", "N", "Ga", "In", "In", "In"],
  "frac_coords": [[0.0000, 0.0000, 0.9248], [0.0000, 0.0000, 0.4421], [0.6667, 0.3333, 0.7040], [0.6667, 0.3333, 0.1829], [0.0000, 0.0000, 0.7533], [0.0000, 0.0000, 0.2507], [0.6667, 0.3333, 0.9913], [0.6667, 0.3333, 0.5102]],
  "formation_energy_uncorrected_mev_per_atom": -146
}

(20)
{
  "formula": "LaZrTl2Os",
  "functional": "SCAN",
  "state": "PBEsol geometry",
  "lattice": [[-0.1554, 4.6398, -1.0763], [-4.6107, -0.7980, -2.7740], [-2.8810, 0.9509, 4.5151]],
  "species": ["Tl", "Tl", "Os", "Zr", "La"],
  "frac_coords": [[0.0000, 0.0000, 0.5000], [0.0000, 0.5000, 0.0000], [0.5000, 0.0000, 0.0000], [0.0000, 0.0000, 0.0000], [0.5000, 0.5000, 0.5000]],
  "delta_e_f_ev_per_atom": 0.441
}